(1)
DFT (PBE) results for a relaxed YSc2Mn crystal.

```
YSc2Mn
1.0
0.0000 3.4623 3.4623
3.4623 0.0000 3.4623
3.4623 3.4623 0.0000
Sc Y Mn
2 1 1
Cartesian
5.1935 5.1935 5.1935 Sc
1.7312 1.7312 1.7312 Sc
3.4623 3.4623 3.4623 Y
0.0000 0.0000 0.0000 Mn
```

Calculated values
Energy relative to the lowest polymorph listed for this composition in eV per atom: 0.307
Space group: Fm-3m
Calculated volume in A^3/atom: 20.8
Formation enthalpy at 0 K in meV per atom: 394
VASP energy in eV/atom: -6.68

(2)
DFT (PBE) results for a relaxed LaSc2Mn2 crystal.

```
LaSc2Mn2
1.0
-0.4799 -3.5804 6.7820
1.0570 -6.7612 -3.4946
3.6568 0.3441 0.4404
La Mn Sc
2 4 4
Cartesian
0.0000 0.0000 0.0000 La
0.2886 -5.1708 1.6437 La
-0.1692 -3.0590 3.7943 Mn
0.2372 -7.3513 3.7738 Mn
0.3399 -2.9904 -0.4865 Mn
0.7463 -7.2826 -0.5070 Mn
1.8257 -2.1092 2.0246 Sc
2.4082 -7.8883 1.7032 Sc
1.7879 -5.1923 4.7473 Sc
2.4460 -4.8052 -1.0196 Sc
```

Calculated values
Energy relative to the lowest polymorph listed for this composition in eV per atom: 0.000
Space group: P4/mbm
Calculated volume in A^3/atom: 21.8
Formation enthalpy at 0 K in meV per atom: 164
VASP energy in eV/atom: -7.02

(3)
DFT (PBE) results for a relaxed LaMo2Br crystal.

```
LaMo2Br
1.0
10.0796 -0.0241 -0.0141
9.6198 3.0097 -0.0141
9.6198 1.4580 2.6331
La Br Mo
1 1 2
Cartesian
21.9894 3.3327 1.9536 La
7.3298 1.1109 0.6512 Br
28.9716 4.3910 2.5739 Mo
15.0072 2.2745 1.3333 Mo
```

Calculated values
Energy relative to the lowest polymorph listed for this composition in eV per atom: 0.975
Space group: R-3m
Calculated volume in A^3/atom: 20.2
VASP energy in eV/atom: -6.12

(4)
DFT (PBE) results for a relaxed LiAc2DyO5 crystal.

```
LiAc2DyO5
1.0
3.7490 0.0000 0.0000
0.0000 3.7490 0.0000
0.0000 0.0000 9.5055
Dy O Li Ac
1 5 1 2
Cartesian
0.0000 0.0000 0.0000 Dy
0.0000 1.8745 4.7527 O
1.8745 0.0000 4.7527 O
1.8745 1.8745 0.0000 O
0.0000 0.0000 7.3331 O
0.0000 0.0000 2.1724 O
0.0000 0.0000 4.7527 Li
1.8745 1.8745 6.4766 Ac
1.8745 1.8745 3.0289 Ac
```

Calculated values
Space group: P4/mmm
Calculated volume in A^3/atom: 14.8
VASP energy in eV/atom: -7.36

(5)
DFT (PBE) results for a relaxed PmAl6Pt crystal.

```
PmAl6Pt
1.0
-4.2796 0.0086 0.0332
-0.0165 -4.1467 -1.0586
0.0592 -2.0893 8.1831
Pt Al Pm
1 6 1
Cartesian
0.0296 -1.0446 4.0916 Pt
-2.0975 -3.8513 6.4680 Al
-2.1394 -2.3760 0.6897 Al
-2.1201 -0.6922 2.7445 Al
0.0312 -3.4662 4.9260 Al
-2.1003 -1.3885 5.4718 Al
0.0115 -2.7698 2.1986 Al
0.0000 0.0000 0.0000 Pm
```

Calculated values
Space group: P4/mmm
Calculated volume in A^3/atom: 19.3
Formation enthalpy at 0 K in meV per atom: -565
VASP energy in eV/atom: -4.72

(6)
DFT (PBE) results for a relaxed Ta2CoCu crystal.

```
Ta2CoCu
1.0
4.6921 -0.0396 0.0000
1.4032 4.4775 0.0000
-3.0476 -2.2190 2.7938
Ta Co Cu
2 1 1
Cartesian
3.0476 2.2190 0.0000 Ta
0.0000 0.0000 0.0000 Ta
0.7016 2.2387 1.3969 Co
2.3460 -0.0198 1.3969 Cu
```

Calculated values
Space group: I4/mmm
Calculated volume in A^3/atom: 14.7
Formation enthalpy at 0 K in meV per atom: 38
VASP energy in eV/atom: -8.69

(7)
DFT (PBE) results for a relaxed CaGeAu2 crystal.

```
CaGeAu2
1.0
4.5679 0.0000 0.0000
0.0000 7.0239 0.0000
0.0000 0.0000 10.3921
Ca Au Ge
4 8 4
Cartesian
3.4259 1.8488 1.6816 Ca
3.4259 5.3608 3.5145 Ca
1.1420 5.1751 8.7105 Ca
1.1420 1.6632 6.8776 Ca
1.1420 6.7572 1.2042 Au
3.4259 4.9278 0.4520 Au
1.1420 5.6081 5.6480 Au
3.4259 0.2667 9.1879 Au
3.4259 1.4159 4.7441 Au
3.4259 3.7787 6.4002 Au
1.1420 3.2453 3.9919 Au
1.1420 2.0961 9.9401 Au
1.1420 4.0866 1.5038 Ge
3.4259 6.4493 6.6998 Ge
1.1420 0.5746 3.6923 Ge
3.4259 2.9374 8.8883 Ge
```

Calculated values
Space group: Pnma
Calculated volume in A^3/atom: 20.8
Formation enthalpy at 0 K in meV per atom: -556
VASP energy in eV/atom: -3.85

(8)
DFT (PBE) results for a relaxed Mg2BiPt9 crystal.

```
Mg2BiPt9
1.0
-1.9327 0.6095 3.4716
1.9458 -3.1167 1.6305
8.8804 7.4466 3.6365
Pt Bi Mg
9 1 2
Cartesian
2.5844 -0.2071 1.4751 Pt
3.4739 4.0281 3.5540 Pt
0.0066 -1.2536 2.5510 Pt
5.8671 3.6607 4.9508 Pt
5.4131 2.1650 2.6335 Pt
8.2419 4.5370 3.7918 Pt
0.6451 1.6560 2.3957 Pt
3.0265 1.2787 3.7877 Pt
6.3026 6.4001 4.7124 Pt
0.0000 0.0000 0.0000 Bi
3.0411 2.5501 1.2453 Mg
5.8393 4.8966 2.3912 Mg
```

Calculated values
Space group: P4/mmm
Calculated volume in A^3/atom: 16.4
Formation enthalpy at 0 K in meV per atom: -441
VASP energy in eV/atom: -5.56

(9)
DFT (PBE) results for a relaxed NiWSeN2 crystal.

```
NiWSeN2
1.0
-1.9729 2.5740 -1.8382
-2.5914 -0.0731 2.6789
2.2227 3.3037 2.2403
N Se W Ni
2 1 1 1
Cartesian
-0.9865 1.2870 -0.9191 N
-1.2957 -0.0366 1.3394 N
1.1114 1.6518 1.1202 Se
-1.1708 2.9022 1.5405 W
0.0000 0.0000 0.0000 Ni
```

Calculated values
Energy relative to the lowest polymorph listed for this composition in eV per atom: 1.053
Space group: P4/mmm
Calculated volume in A^3/atom: 12.7
VASP energy in eV/atom: -6.15

(10)
DFT (PBE) results for a relaxed NbTlFeTc2 crystal.

```
NbTlFeTc2
1.0
4.8964 0.0000 0.0000
0.0000 4.5318 0.0000
0.0000 0.0000 4.8964
Fe Tc Tl Nb
1 2 1 1
Cartesian
0.0000 2.2659 0.0000 Fe
0.0000 0.0000 2.4482 Tc
2.4482 0.0000 0.0000 Tc
0.0000 0.0000 0.0000 Tl
2.4482 2.2659 2.4482 Nb
```

Calculated values
Space group: P4/mmm
Calculated volume in A^3/atom: 21.7
Formation enthalpy at 0 K in meV per atom: 2453
VASP energy in eV/atom: -5.87

(11)
DFT (PBE) results for a relaxed Eu3NbO7 crystal.

```
Eu3NbO7
1.0
7.5409 0.0000 0.0000
0.0000 7.7455 0.0000
0.0000 0.0000 10.8256
Eu Nb O
12 4 28
Cartesian
5.8755 1.9026 0.2409 Eu
3.5971 3.8234 2.6490 Eu
2.2042 1.9332 5.5679 Eu
1.6654 5.7754 5.1719 Eu
5.4359 5.8429 5.6537 Eu
5.9747 1.9395 5.2577 Eu
7.3676 0.0493 8.1766 Eu
5.3367 5.8060 10.6705 Eu
1.5663 5.8123 0.1551 Eu
3.9438 7.6962 2.7638 Eu
0.1733 3.9221 8.0618 Eu
2.1050 1.9701 10.5847 Eu
3.7441 0.0466 8.1083 Nb
7.5146 3.8261 2.7173 Nb
0.0264 7.6989 2.6955 Nb
3.7968 3.9194 8.1301 Nb
5.9213 7.4860 1.4147 O
6.0583 4.1066 1.4166 O
4.8599 3.5597 9.7220 O
3.7001 5.7206 4.1377 O
3.5345 5.8412 1.2579 O
6.4515 4.1858 4.3093 O
1.6196 3.6133 3.9980 O
5.2531 3.6389 6.8294 O
6.0699 7.5062 4.0898 O
1.4827 0.2338 3.9962 O
7.0284 1.9397 2.7913 O
7.4706 5.8977 6.6878 O
2.6810 7.4324 6.5163 O
0.0703 2.0249 9.5505 O
3.8408 1.8478 1.2751 O
7.3050 5.7771 9.5677 O
5.2415 0.2393 9.5026 O
5.3901 0.2595 6.8275 O
2.2878 7.5117 9.4089 O
1.0894 0.3130 1.1035 O
0.5125 5.8124 2.6215 O
1.4711 3.6334 1.3230 O
4.0064 1.9684 4.1549 O
2.2994 4.1121 6.7357 O
3.2580 1.9331 8.0342 O
0.2359 1.9043 6.6706 O
4.2830 5.8058 8.2041 O
2.1509 4.1322 9.4108 O
```

Calculated values
Energy relative to the lowest polymorph listed for this composition in eV per atom: 0.026
Space group: P2_12_12_1
Calculated volume in A^3/atom: 14.4
VASP energy in eV/atom: -9.61

(12)
DFT (PBE) results for a relaxed BaInAgRu2 crystal.

```
BaInAgRu2
1.0
5.1630 0.0000 0.0000
0.0000 5.0740 0.0000
0.0000 0.0000 5.1630
Ru Ag Ba In
2 1 1 1
Cartesian
0.0000 0.0000 2.5815 Ru
2.5815 0.0000 0.0000 Ru
0.0000 0.0000 0.0000 Ag
2.5815 2.5370 2.5815 Ba
0.0000 2.5370 0.0000 In
```

Calculated values
Space group: P4/mmm
Calculated volume in A^3/atom: 27.1
Formation enthalpy at 0 K in meV per atom: 1106
VASP energy in eV/atom: -4.11

(13)
DFT (PBE) results for a relaxed NpIrRuRh crystal.

```
NpIrRuRh
1.0
3.9827 0.0000 0.0000
0.0000 4.0985 0.0000
0.0000 0.0000 3.9638
Ir Ru Np Rh
1 1 1 1
Cartesian
1.9914 2.0492 0.0000 Ir
0.0000 0.0000 0.0000 Ru
1.9914 0.0000 1.9819 Np
0.0000 2.0492 1.9819 Rh
```

Calculated values
Space group: Pmmm
Calculated volume in A^3/atom: 16.2
Formation enthalpy at 0 K in meV per atom: -316
VASP energy in eV/atom: -9.92

(14)
DFT (PBE) results for a relaxed Sc5Co4Sn crystal.

```
Sc5Co4Sn
1.0
-0.8493 -0.1019 2.9787
-1.9815 -2.2944 -0.6434
12.4909 -11.6740 3.1619
Sn Co Sc
1 4 5
Cartesian
0.0000 0.0000 0.0000 Sn
5.1143 -4.7798 1.2946 Co
9.6777 -9.0447 2.4498 Co
2.8132 -2.6292 0.7121 Co
7.3766 -6.8942 1.8673 Co
4.8301 -7.0351 2.7486 Sc
9.3791 -11.2866 3.9001 Sc
7.1109 -9.1667 3.3260 Sc
2.5493 -4.9035 2.1713 Sc
0.2811 -2.7837 1.5971 Sc
```

Calculated values
Space group: P4/mmm
Calculated volume in A^3/atom: 16.7
Formation enthalpy at 0 K in meV per atom: -396
VASP energy in eV/atom: -6.80

(15)
DFT (PBE) results for a relaxed MgZr2Re crystal.

```
MgZr2Re
1.0
-4.3438 -2.5834 -8.1572
-6.2347 -4.0971 -6.0352
-6.7604 -0.9985 -6.7366
Re Zr Mg
1 2 1
Cartesian
-13.0042 -5.7593 -15.6967 Re
-8.4826 -3.7568 -10.2389 Zr
-0.1869 -0.0828 -0.2256 Zr
-4.3347 -1.9198 -5.2322 Mg
```

Calculated values
Space group: R-3m
Calculated volume in A^3/atom: 21.1
Formation enthalpy at 0 K in meV per atom: 96
VASP energy in eV/atom: -7.69

(16)
DFT (PBE) results for a relaxed BaIn2P crystal.

```
BaIn2P
1.0
-2.1364 2.5755 5.5784
2.1364 -2.5755 5.5784
2.1364 2.5755 -5.5784
In P Ba
2 1 1
Cartesian
0.0000 0.0000 11.1012 In
2.1364 0.0000 3.6244 In
0.0000 0.0000 5.2785 P
0.0000 2.5755 2.3095 Ba
```

Calculated values
Space group: Imm2
Calculated volume in A^3/atom: 30.7
Formation enthalpy at 0 K in meV per atom: -290
VASP energy in eV/atom: -3.49

(17)
DFT (PBE) results for a relaxed ReBrCl6 crystal.

```
ReBrCl6
1.0
7.5680 1.0458 1.2585
3.1118 6.9775 1.2585
1.6636 1.2498 11.3824
Cl Re Br
12 2 2
Cartesian
9.3517 4.9487 5.3765 Cl
4.6017 3.9967 5.7216 Cl
2.9917 4.3245 8.5229 Cl
4.1547 1.0444 2.8317 Cl
7.7417 5.2765 8.1777 Cl
9.9825 7.5553 7.3709 Cl
10.8679 8.1089 13.0621 Cl
5.9517 3.9317 11.4128 Cl
6.3917 5.3414 2.4865 Cl
8.1887 8.2288 11.0677 Cl
2.3609 1.7179 6.5284 Cl
1.4755 1.1643 0.8372 Cl
3.7840 0.5229 0.6292 Re
2.3877 4.1137 6.3204 Re
8.7944 2.0117 9.7953 Br
3.5491 7.2615 4.1041 Br
```

Calculated values
Space group: C2/c
Calculated volume in A^3/atom: 34.0
VASP energy in eV/atom: -3.58

(18)
DFT (PBE) results for a relaxed KBeBr crystal.

```
KBeBr
1.0
5.5084 0.0000 0.0000
2.7542 4.7704 0.0000
2.7542 1.5901 4.4976
Br Be K
1 1 1
Cartesian
8.2625 4.7704 3.3732 Br
5.5084 3.1802 2.2488 Be
0.0000 0.0000 0.0000 K
```

Calculated values
Energy relative to the lowest polymorph listed for this composition in eV per atom: 0.065
Space group: F-43m
Calculated volume in A^3/atom: 39.4
VASP energy in eV/atom: -2.06

(19)
DFT (PBE) results for a relaxed Ac2BiRuO6 crystal.

```
Ac2BiRuO6
1.0
4.5242 0.0000 0.0000
0.0000 5.9986 0.0000
0.0000 0.0000 5.9986
Ru O Ac Bi
1 6 2 1
Cartesian
3.0574 0.0000 0.0000 Ru
0.4274 2.9993 2.9993 O
3.2205 1.4363 4.5622 O
3.2205 4.5622 1.4363 O
3.2205 1.4363 1.4363 O
0.8004 0.0000 0.0000 O
3.2205 4.5622 4.5622 O
0.1436 2.9993 0.0000 Ac
0.1436 0.0000 2.9993 Ac
2.6639 2.9993 2.9993 Bi
```

Calculated values
Space group: P4mm
Calculated volume in A^3/atom: 16.3
VASP energy in eV/atom: -7.03

(20)
DFT (PBE) results for a relaxed Pm3GeC crystal.

```
Pm3GeC
1.0
-3.1948 3.0685 2.3075
-2.7522 -3.9235 1.4068
2.6769 -0.3716 4.2004
Ge Pm C
1 3 1
Cartesian
-1.6351 -0.6133 3.9574 Ge
1.3384 -0.1858 2.1002 Pm
-1.5974 1.5343 1.1538 Pm
-1.3761 -1.9617 0.7034 Pm
0.0000 0.0000 0.0000 C
```

Calculated values
Energy relative to the lowest polymorph listed for this composition in eV per atom: 0.073
Space group: Pm-3m
Calculated volume in A^3/atom: 24.9
Formation enthalpy at 0 K in meV per atom: -388
VASP energy in eV/atom: -6.01